VASP calculation (PBE-GGA) on a geometry-optimized SmSc2Bi structure.

a = 4.751 Å, b = 4.751 Å, c = 4.599 Å
α = 90.00°, β = 90.00°, γ = 90.00°
Sites, in units of the cell vectors:
Sm 0.000 0.000 0.000
Sc 0.000 0.500 0.500
Sc 0.500 0.000 0.500
Bi 0.500 0.500 0.000

Calculated values
Space-group type: P4/mmm, No. 123
Energy of formation, eV per atom: -0.318